The following is a DFT calculation (GGA-PBE) of an optimized crystal structure of Zr2TiTl.

```
data_Zr2TiTl
_chemical_formula_sum 'Zr8 Ti4 Tl4'
_symmetry_space_group_name_H-M 'F m -3 m'
_symmetry_Int_Tables_number 225
_symmetry_space_group_name_Hall '-F 4 2 3'
_cell_length_a 7.027
_cell_length_b 7.027
_cell_length_c 7.027
_cell_angle_alpha 90.00
_cell_angle_beta 90.00
_cell_angle_gamma 90.00
loop_
_atom_site_label
_atom_site_type_symbol
_atom_site_fract_x
_atom_site_fract_y
_atom_site_fract_z
Zr1 Zr 0.250 0.250 0.250
Ti1 Ti 0.000 0.000 0.000
Tl1 Tl 0.000 0.000 0.500
```

Calculated values
The total magnetization is 0.484 μB per atom. The value obtained for the energy above the lowest structure with this stoichiometry is 0.114 eV per atom.